The following is a GGA-PBE calculation of an optimized crystal structure of Pm2Dy5HoSc, from Alexandria.

Output
- Final energy: -4.54 eV per atom
- M_tot: 0.00 μB per formula unit
- Calculated formation energy: 280.5 meV/atom
- Volume: 567.5 Å³ per cell
- SG: No. 140

abc: 8.4759 8.4759 9.9154
angles: 115.30 115.30 90.00
With the nearest neighbours (Å) after each atom.
Sites, in units of the cell vectors:
1 Ho 0.2500 0.2500 0.5000  8 Dy 3.47
2 Ho 0.7500 0.7500 0.5000  8 Dy 3.47
3 Sc 0.2500 0.7500 0.5000  4 Dy 3.04
4 Sc 0.7500 0.2500 0.5000  4 Dy 3.04
5 Dy 0.0675 0.5675 0.7141  1 Sc 3.04, 1 Pm 3.04
6 Dy 0.1467 0.0675 0.7141  1 Sc 3.04, 1 Pm 3.04
7 Dy 0.5000 0.5000 0.0000  4 Pm 3.38, 8 Dy 3.78
8 Dy 0.4325 0.3533 0.2859  1 Sc 3.04, 1 Pm 3.04
9 Dy 0.8533 0.9325 0.2859  1 Sc 3.04, 1 Pm 3.04
10 Dy 0.5675 0.6467 0.7141  1 Sc 3.04, 1 Pm 3.04
11 Dy 0.0000 0.0000 0.0000  4 Pm 3.38, 8 Dy 3.78
12 Dy 0.9325 0.4325 0.2859  1 Sc 3.04, 1 Pm 3.04
13 Dy 0.6467 0.1467 0.7141  1 Sc 3.04, 1 Pm 3.04
14 Dy 0.3533 0.8533 0.2859  1 Sc 3.04, 1 Pm 3.04
15 Pm 0.6200 0.1200 0.0000  1 Pm 2.88, 2 Dy 3.04
16 Pm 0.1200 0.3800 0.0000  1 Pm 2.88, 2 Dy 3.04
17 Pm 0.3800 0.8800 0.0000  1 Pm 2.88, 2 Dy 3.04
18 Pm 0.8800 0.6200 0.0000  1 Pm 2.88, 2 Dy 3.04